Below is a relaxed NaFeS2O8 crystal, with properties calculated at the PBE with a Hubbard U level.

Cell and atoms, written as extended XYZ:
```
12
Lattice="4.883 0.000 0.000 -2.442 4.229 0.000 0.000 0.000 7.579" Properties=species:S:1:pos:R:3 pbc="T T T"
O 0.000 2.819 6.987
O 3.318 0.306 2.559
O -0.517 1.509 5.020
O 2.442 1.410 0.593
O 1.048 1.202 2.559
O 1.394 3.027 5.020
O -0.876 3.923 5.020
O 2.959 2.720 2.559
S 2.442 1.410 2.049
S 0.000 2.819 5.530
Fe 0.000 0.000 3.790
Na 0.000 0.000 0.000
```

- energy above the most stable polymorph in this dataset (meV/atom) = 23.4
- total DFT energy (no corrections) (eV per atom) = -6.083
- total moment (μB/cell) = 4.9
- Fermi-level density of states (states/eV/cell) = 0.0